VASP calculation (PBE) on ZrPdSeBr2 after structural relaxation.

Cell lengths 5.333, 5.333, 5.172 Å; angles 90.00, 90.00, 90.00 degrees
Site moments in Bohr magnetons follow the coordinates.
Fractional positions:
Br  0.500  0.000  0.000  0.00
Br  0.000  0.500  0.000  0.00
Pd  0.500  0.500  0.500  -0.32
Zr  0.000  0.000  0.000  0.03
Se  0.000  0.000  0.500  -0.01

Crystal system ... tetragonal
Total magnetic moment ... 0.3 μB per cell
Formation energy without anion corrections ... -0.305 eV per atom

VASP calculation (PBE) on ZrPdSeBr2 after structural relaxation.

Cell lengths 4.969, 4.969, 5.132 Å; angles 90.00, 90.00, 90.00 degrees
Site moments in Bohr magnetons follow the coordinates.
Fractional positions:
Zr  0.500  0.500  0.500  1.29
Pd  0.000  0.000  0.000  -0.02
Se  0.000  0.000  0.500  -0.09
Br  0.500  0.000  0.000  -0.04
Br  0.000  0.500  0.000  -0.04

Crystal system ... tetragonal
Total magnetic moment ... 1.7 μB per cell
Formation energy without anion corrections ... 0.142 eV per atom

VASP calculation (PBE) on SiPdBr3 after structural relaxation.

Cell lengths 5.147, 5.147, 5.147 Å; angles 90.00, 90.00, 90.00 degrees
Site moments in Bohr magnetons follow the coordinates.
Fractional positions:
Si  0.000  0.000  0.000  -0.02
Br  0.000  0.500  0.000  -0.02
Br  0.000  0.000  0.500  -0.01
Pd  0.500  0.500  0.500  -0.47
Br  0.500  0.000  0.000  -0.03

Crystal system ... cubic
Total magnetic moment ... 0.6 μB per cell
Formation energy without anion corrections ... 0.240 eV per atom

VASP calculation (PBE) on SiPdBr3 after structural relaxation.

Cell lengths 5.124, 5.124, 5.124 Å; angles 90.00, 90.00, 90.00 degrees
Site moments in Bohr magnetons follow the coordinates.
Fractional positions:
Si  0.500  0.500  0.500  0.23
Br  0.000  0.000  0.500  -0.02
Br  0.000  0.500  0.000  -0.01
Pd  0.000  0.000  0.000  -0.02
Br  0.500  0.000  0.000  -0.03

Crystal system ... cubic
Total magnetic moment ... 0.6 μB per cell
Formation energy without anion corrections ... 0.305 eV per atom

VASP calculation (PBE) on SiPdBr after structural relaxation.

Cell lengths 3.343, 3.805, 10.938 Å; angles 90.00, 90.00, 116.05 degrees
Fractional positions:
Si  0.680  0.361  0.379
Br  0.155  0.309  0.185
Si  0.680  0.361  0.621
Pd  0.624  0.249  0.000
Br  0.155  0.309  0.815
Pd  0.372  0.744  0.500

Crystal system ... orthorhombic
Total magnetic moment ... 0.0 μB per cell
Formation energy without anion corrections ... 0.064 eV per atom

VASP calculation (PBE) on SiPd3Br after structural relaxation.

Cell lengths 4.614, 4.614, 4.614 Å; angles 90.00, 90.00, 90.00 degrees
Fractional positions:
Pd  0.500  0.000  0.000
Br  0.500  0.500  0.500
Pd  0.000  0.500  0.000
Si  0.000  0.000  0.000
Pd  0.000  0.000  0.500

Crystal system ... cubic
Total magnetic moment ... 0.0 μB per cell
Formation energy without anion corrections ... 0.062 eV per atom